1.
{"formula": "Li2CrBi", "functional": "PBE", "state": "relaxed", "final_energy_ev_per_atom": -3.713, "delta_e_f_ev_per_atom": 0.620, "total_magnetization_mub_per_fu": 0.0, "lattice_angstrom": [[-3.0062, -5.4418, -4.2787], [-1.8280, -3.8751, 6.2129], [-4.7478, -3.4328, 1.0458]], "species": ["Cr", "Cr", "Bi", "Bi", "Li", "Li", "Li", "Li"], "fractional_positions": [[0.5000, 0.5000, 0.0000], [0.2500, 0.7500, 0.5000], [0.0000, 0.0000, 0.0000], [0.7500, 0.2500, 0.5000], [0.6109, 0.1250, 0.2500], [0.1391, 0.6250, 0.2500], [0.3750, 0.3891, 0.7500], [0.8750, 0.8609, 0.7500]]}

=====

2.
{"formula": "HoMgSn2", "functional": "PBE", "state": "relaxed", "final_energy_ev_per_atom": -3.863, "delta_e_f_ev_per_atom": -0.319, "total_magnetization_mub_per_fu": 0.0, "lattice_angstrom": [[4.5339, 0.0000, 0.0000], [2.2670, 3.9265, 0.0000], [2.2670, 1.3088, 6.3849]], "species": ["Ho", "Mg", "Sn", "Sn"], "fractional_positions": [[0.6726, 0.6726, 0.9822], [0.4930, 0.4930, 0.5211], [0.0900, 0.0900, 0.7301], [0.2445, 0.2445, 0.2665]]}

=====

3.
{"formula": "Tl12Sb3P5", "functional": "PBE", "state": "relaxed", "final_energy_ev_per_atom": -3.175, "formation_energy_uncorrected_mev_per_atom": 215, "total_magnetization_mub_per_fu": 0.0, "lattice_angstrom": [[14.9600, 0.0000, 0.0000], [-4.9867, 14.1044, 0.0000], [-4.9867, -7.0522, 12.2148]], "species": ["Sb", "Sb", "Sb", "Sb", "Sb", "Sb", "Sb", "Sb", "Sb", "Sb", "Sb", "Sb", "P", "P", "P", "P", "P", "P", "P", "P", "P", "P", "P", "P", "P", "P", "P", "P", "P", "P", "P", "P", "Tl", "Tl", "Tl", "Tl", "Tl", "Tl", "Tl", "Tl", "Tl", "Tl", "Tl", "Tl", "Tl", "Tl", "Tl", "Tl", "Tl", "Tl", "Tl", "Tl", "Tl", "Tl", "Tl", "Tl", "Tl", "Tl", "Tl", "Tl", "Tl", "Tl", "Tl", "Tl", "Tl", "Tl", "Tl", "Tl", "Tl", "Tl", "Tl", "Tl", "Tl", "Tl", "Tl", "Tl", "Tl", "Tl", "Tl", "Tl"], "fractional_positions": [[0.7500, 0.3750, 0.1250], [0.8750, 0.7500, 0.1250], [0.3750, 0.7500, 0.6250], [0.2500, 0.1250, 0.3750], [0.8750, 0.1250, 0.2500], [0.3750, 0.6250, 0.2500], [0.6250, 0.3750, 0.7500], [0.1250, 0.8750, 0.7500], [0.7500, 0.8750, 0.6250], [0.6250, 0.2500, 0.3750], [0.1250, 0.2500, 0.8750], [0.2500, 0.6250, 0.8750], [0.1250, 0.3750, 0.2500], [0.0000, 0.5000, 0.0000], [0.0000, 0.0000, 0.0000], [0.3750, 0.2500, 0.1250], [0.5000, 0.0000, 0.5000], [0.5000, 0.5000, 0.0000], [0.1250, 0.7500, 0.3750], [0.7500, 0.1250, 0.8750], [0.7500, 0.6250, 0.3750], [0.3750, 0.1250, 0.7500], [0.6250, 0.8750, 0.2500], [0.5000, 0.5000, 0.5000], [0.5000, 0.0000, 0.0000], [0.0000, 0.0000, 0.5000], [0.2500, 0.3750, 0.6250], [0.2500, 0.8750, 0.1250], [0.0000, 0.5000, 0.5000], [0.8750, 0.2500, 0.6250], [0.6250, 0.7500, 0.8750], [0.8750, 0.6250, 0.7500], [0.7163, 0.1285, 0.0421], [0.3258, 0.5421, 0.4136], [0.9579, 0.3715, 0.2837], [0.5421, 0.2163, 0.1285], [0.5878, 0.7163, 0.6742], [0.9579, 0.5864, 0.1742], [0.3258, 0.7837, 0.4122], [0.0864, 0.9122, 0.1285], [0.5864, 0.9579, 0.6742], [0.7163, 0.5878, 0.1742], [0.7837, 0.4579, 0.3715], [0.8258, 0.9136, 0.0421], [0.1285, 0.7163, 0.5421], [0.3715, 0.4136, 0.0878], [0.0878, 0.9136, 0.3715], [0.4122, 0.1285, 0.5864], [0.0878, 0.1742, 0.2163], [0.4579, 0.6742, 0.0864], [0.8258, 0.9122, 0.2837], [0.1285, 0.4122, 0.0864], [0.3715, 0.9579, 0.7837], [0.5864, 0.6285, 0.4122], [0.9136, 0.8258, 0.5421], [0.7837, 0.3258, 0.9122], [0.4136, 0.3715, 0.5878], [0.0864, 0.1742, 0.4579], [0.2163, 0.6742, 0.0878], [0.1742, 0.0878, 0.7163], [0.6285, 0.0421, 0.2163], [0.8715, 0.5878, 0.9136], [0.5421, 0.3258, 0.9136], [0.5878, 0.8715, 0.4136], [0.9122, 0.8258, 0.7837], [0.9122, 0.0864, 0.6285], [0.8715, 0.2837, 0.4579], [0.1742, 0.0864, 0.9579], [0.6285, 0.5864, 0.9122], [0.4136, 0.0421, 0.3258], [0.2837, 0.4122, 0.8258], [0.2163, 0.5421, 0.6285], [0.9136, 0.0878, 0.8715], [0.6742, 0.2163, 0.5878], [0.4579, 0.7837, 0.8715], [0.0421, 0.4136, 0.8258], [0.4122, 0.2837, 0.3258], [0.0421, 0.6285, 0.7163], [0.6742, 0.4579, 0.5864], [0.2837, 0.8715, 0.9579]]}

=====

4.
{"formula": "Ce4TlSn", "functional": "PBE", "state": "relaxed", "final_energy_ev_per_atom": -5.244, "polymorph_energy_ev_per_fu": 0.31, "delta_e_f_ev_per_atom": -0.226, "total_magnetization_mub_per_fu": 2.1, "lattice_angstrom": [[4.8957, -0.0109, 1.7833], [2.6222, 5.6301, 0.3700], [0.5594, -1.5919, 5.9886]], "species": ["Ce", "Ce", "Ce", "Ce", "Tl", "Sn"], "fractional_positions": [[0.7727, 0.5743, 0.9263], [0.7727, 0.9263, 0.5743], [0.2273, 0.4257, 0.0737], [0.2273, 0.0737, 0.4257], [0.5000, 0.5000, 0.5000], [0.0000, 0.0000, 0.0000]]}